# 1
A plane-wave DFT calculation with PBE was carried out for an optimized crystal structure of TiVRh6.

a = 3.830 Å, b = 3.830 Å, c = 7.670 Å
α = 90.00°, β = 90.00°, γ = 90.00°
Space group P4/mmm (No. 123)
One atom of each set of equivalent atoms:
Ti (0.000, 0.000, 0.000) x1
V (0.000, 0.000, 0.500) x1
Rh (0.000, 0.500, 0.255) x4
Rh (0.500, 0.500, 0.000) x1
Rh (0.500, 0.500, 0.500) x1

Output
final energy	-8.151	eV/atom
ΔE to the lowest computed polymorph	0	meV per atom
crystal system	tetragonal
E_form	-0.51	eV/atom



# 2
A plane-wave DFT calculation with PBE was carried out for an optimized crystal structure of Ti3VRh6.

a = 7.466 Å, b = 4.395 Å, c = 9.654 Å
α = 90.00°, β = 112.68°, γ = 90.00°
Space group P2_1/m (No. 11)
One atom of each set of equivalent atoms:
Ti (0.073, 0.250, 0.206) x2
Ti (0.312, 0.250, 0.022) x2
Ti (0.351, 0.750, 0.369) x2
V (0.119, 0.750, 0.574) x2
Rh (0.063, 0.250, 0.710) x2
Rh (0.123, 0.750, 0.082) x2
Rh (0.262, 0.250, 0.500) x2
Rh (0.289, 0.750, 0.863) x2
Rh (0.479, 0.250, 0.826) x2
Rh (0.488, 0.750, 0.665) x2

Output
final energy	-8.312	eV/atom
crystal system	monoclinic
E_form	-0.62	eV/atom



# 3
A plane-wave DFT calculation with PBE was carried out for an optimized crystal structure of TiVRh2.

a = 4.038 Å, b = 4.038 Å, c = 3.546 Å
α = 90.00°, β = 90.00°, γ = 90.00°
Space group P4/mmm (No. 123)
One atom of each set of equivalent atoms:
Ti (0.000, 0.000, 0.000) x1
V (0.500, 0.500, 0.000) x1
Rh (0.000, 0.500, 0.500) x2

Output
final energy	-8.453	eV/atom
ΔE to the lowest computed polymorph	5	meV per atom
crystal system	tetragonal
E_form	-0.52	eV/atom



# 4
A plane-wave DFT calculation with PBE was carried out for an optimized crystal structure of Ti2V2Rh7.

a = 5.342 Å, b = 5.464 Å, c = 6.026 Å
α = 102.73°, β = 105.08°, γ = 91.40°
Space group P-1 (No. 2)
One atom of each set of equivalent atoms:
Ti (0.002, 0.192, 0.212) x2
V (0.390, 0.647, 0.183) x2
Rh (0.106, 0.317, 0.851) x2
Rh (0.267, 0.006, 0.521) x2
Rh (0.270, 0.532, 0.538) x2
Rh (0.500, 0.000, 0.000) x1

Output
final energy	-8.131	eV/atom
crystal system	triclinic
E_form	-0.36	eV/atom



# 5
A plane-wave DFT calculation with PBE was carried out for an optimized crystal structure of TiV2Rh9.

a = 3.823 Å, b = 3.823 Å, c = 11.484 Å
α = 90.00°, β = 90.00°, γ = 90.00°
Space group P4/mmm (No. 123)
One atom of each set of equivalent atoms:
Ti (0.000, 0.000, 0.000) x1
V (0.000, 0.000, 0.332) x2
Rh (0.000, 0.500, 0.171) x4
Rh (0.000, 0.500, 0.500) x2
Rh (0.500, 0.500, 0.000) x1
Rh (0.500, 0.500, 0.335) x2

Output
final energy	-8.160	eV/atom
crystal system	tetragonal
E_form	-0.47	eV/atom



# 6
A plane-wave DFT calculation with PBE was carried out for an optimized crystal structure of TiV2Rh2.

a = 7.294 Å, b = 7.294 Å, c = 2.796 Å
α = 90.00°, β = 90.00°, γ = 90.00°
Space group P4/mbm (No. 127)
One atom of each set of equivalent atoms:
Ti (0.000, 0.000, 0.000) x2
V (0.165, 0.335, 0.500) x4
Rh (0.134, 0.634, 0.000) x4

Output
final energy	-8.414	eV/atom
ΔE to the lowest computed polymorph	18	meV per atom
crystal system	tetragonal
E_form	-0.25	eV/atom



# 7
A plane-wave DFT calculation with PBE was carried out for an optimized crystal structure of Ti4VRh3.

a = 3.119 Å, b = 3.119 Å, c = 12.314 Å
α = 90.00°, β = 90.00°, γ = 90.00°
Space group P4/mmm (No. 123)
One atom of each set of equivalent atoms:
Ti (0.000, 0.000, 0.123) x2
Ti (0.000, 0.000, 0.375) x2
V (0.500, 0.500, 0.000) x1
Rh (0.500, 0.500, 0.255) x2
Rh (0.500, 0.500, 0.500) x1

Output
final energy	-8.445	eV/atom
crystal system	tetragonal
E_form	-0.60	eV/atom



# 8
A plane-wave DFT calculation with PBE was carried out for an optimized crystal structure of TiVRh2.

a = 6.161 Å, b = 6.161 Å, c = 6.161 Å
α = 90.00°, β = 90.00°, γ = 90.00°
Space group Fm-3m (No. 225)
One atom of each set of equivalent atoms:
Ti (0.000, 0.000, 0.000) x4
V (0.000, 0.000, 0.500) x4
Rh (0.250, 0.250, 0.250) x8

Output
final energy	-8.378	eV/atom
ΔE to the lowest computed polymorph	80	meV per atom
crystal system	cubic
E_form	-0.45	eV/atom



# 9
A plane-wave DFT calculation with PBE was carried out for an optimized crystal structure of TiV4Rh7.

a = 11.574 Å, b = 4.428 Å, c = 8.983 Å
α = 90.00°, β = 126.89°, γ = 90.00°
Space group C2/m (No. 12)
One atom of each set of equivalent atoms:
Ti (0.000, 0.000, 0.000) x2
V (0.079, 0.500, 0.786) x4
V (0.212, 0.500, 0.344) x4
Rh (0.000, 0.500, 0.000) x2
Rh (0.075, 0.000, 0.337) x4
Rh (0.149, 0.500, 0.587) x4
Rh (0.219, 0.000, 0.867) x4

Output
final energy	-8.106	eV/atom
crystal system	monoclinic
E_form	-0.12	eV/atom



# 10
A plane-wave DFT calculation with PBE was carried out for an optimized crystal structure of Ti2VRh2.

a = 7.362 Å, b = 7.362 Å, c = 2.873 Å
α = 90.00°, β = 90.00°, γ = 90.00°
Space group P4/mbm (No. 127)
One atom of each set of equivalent atoms:
Ti (0.153, 0.347, 0.000) x4
V (0.000, 0.000, 0.000) x2
Rh (0.148, 0.648, 0.500) x4

Output
final energy	-8.285	eV/atom
ΔE to the lowest computed polymorph	5	meV per atom
crystal system	tetragonal
E_form	-0.36	eV/atom



# 11
A plane-wave DFT calculation with PBE was carried out for an optimized crystal structure of Ti2VRh2.

a = 7.319 Å, b = 7.319 Å, c = 2.928 Å
α = 90.00°, β = 90.00°, γ = 90.00°
Space group P4/mbm (No. 127)
One atom of each set of equivalent atoms:
Ti (0.164, 0.336, 0.000) x4
V (0.000, 0.000, 0.500) x2
Rh (0.136, 0.636, 0.500) x4

Output
final energy	-8.290	eV/atom
ΔE to the lowest computed polymorph	0	meV per atom
crystal system	tetragonal
E_form	-0.37	eV/atom



# 12
A plane-wave DFT calculation with PBE was carried out for an optimized crystal structure of TiV4Rh.

a = 6.984 Å, b = 6.984 Å, c = 6.984 Å
α = 90.00°, β = 90.00°, γ = 90.00°
Space group F-43m (No. 216)
One atom of each set of equivalent atoms:
Ti (0.000, 0.000, 0.000) x4
V (0.126, 0.126, 0.374) x16
Rh (0.250, 0.250, 0.750) x4

Output
final energy	-8.708	eV/atom
crystal system	cubic
E_form	-0.09	eV/atom